Record 1
A plane-wave DFT calculation with PBE-GGA was carried out for a relaxed structure of RhSN2F.

a b c (Å): 3.9091 3.9091 3.9970
angles (deg): 90.00 90.00 90.00
With the nearest neighbours (Å) after each atom.
Positions (direct):
Rh  0.0000  0.0000  0.0000  4 N 1.95, 2 F 2.00
S  0.5000  0.5000  0.5000  4 F 2.76, 8 N 2.80
N  0.0000  0.5000  0.0000  2 Rh 1.95
N  0.5000  0.0000  0.0000  2 Rh 1.95
F  0.0000  0.0000  0.5000  2 Rh 2.00

Values from the calculation:
The calculated volume is 61.1 Å³ per cell. The value obtained for the formation energy from raw total energies is 1.09 eV/atom. The value obtained for the excess energy over the best structure of this formula in the dataset is 0 meV/atom. The final energy is -24.6 eV for the cell shown.

---

Record 2
A plane-wave DFT calculation with PBE-GGA was carried out for a relaxed structure of ScRhNF2.

a b c (Å): 4.3430 4.3430 3.7411
angles (deg): 90.00 90.00 90.00
With the nearest neighbours (Å) after each atom.
Positions (direct):
Sc  0.0000  0.0000  0.0000  8 F 2.87, 4 N 3.07
Rh  0.5000  0.5000  0.5000  2 N 1.87
N  0.5000  0.5000  0.0000  2 Rh 1.87
F  0.0000  0.5000  0.5000  2 Rh 2.17
F  0.5000  0.0000  0.5000  2 Rh 2.17

Values from the calculation:
The calculated volume is 70.6 Å³ per cell. The value obtained for the formation energy from raw total energies is -0.74 eV/atom. The value obtained for the excess energy over the best structure of this formula in the dataset is 409 meV/atom. The final energy is -29.4 eV for the cell shown.

---

Record 3
A plane-wave DFT calculation with PBE-GGA was carried out for a relaxed structure of ScRhNF2.

a b c (Å): 3.9179 3.9179 4.5100
angles (deg): 90.00 90.00 90.00
With the nearest neighbours (Å) after each atom.
Positions (direct):
Sc  0.0000  0.0000  0.0000  4 F 1.96
Rh  0.5000  0.5000  0.5000  4 N 2.77, 8 F 2.99
N  0.0000  0.0000  0.5000  2 Sc 2.26
F  0.0000  0.5000  0.0000  2 Sc 1.96
F  0.5000  0.0000  0.0000  2 Sc 1.96

Values from the calculation:
The calculated volume is 69.2 Å³ per cell. The value obtained for the formation energy from raw total energies is -1.15 eV/atom. The value obtained for the excess energy over the best structure of this formula in the dataset is 0 meV/atom. The final energy is -31.5 eV for the cell shown.

---

Record 4
A plane-wave DFT calculation with PBE-GGA was carried out for a relaxed structure of RhSe2NF.

a b c (Å): 5.1328 5.1328 3.5965
angles (deg): 90.00 90.00 90.00
With the nearest neighbours (Å) after each atom.
Positions (direct):
Rh  0.0000  0.0000  0.0000  2 N 1.80
Se  0.0000  0.5000  0.0000  2 Rh 2.57
Se  0.5000  0.0000  0.0000  2 Rh 2.57
N  0.0000  0.0000  0.5000  2 Rh 1.80
F  0.5000  0.5000  0.5000  8 Se 3.13

Values from the calculation:
The calculated volume is 94.8 Å³ per cell. The value obtained for the formation energy from raw total energies is 0.51 eV/atom. The value obtained for the excess energy over the best structure of this formula in the dataset is 0 meV/atom. The final energy is -22.0 eV for the cell shown.

---

Record 5
A plane-wave DFT calculation with PBE-GGA was carried out for a relaxed structure of RhSeN2F.

a b c (Å): 3.9177 3.9177 4.0535
angles (deg): 90.00 90.00 90.00
With the nearest neighbours (Å) after each atom.
Positions (direct):
Rh  0.0000  0.0000  0.0000  4 Se 2.77, 8 N 2.82
Se  0.5000  0.5000  0.0000  2 F 2.03
N  0.0000  0.5000  0.5000  2 F 1.96
N  0.5000  0.0000  0.5000  2 F 1.96
F  0.5000  0.5000  0.5000  4 N 1.96, 2 Se 2.03

Values from the calculation:
The calculated volume is 62.2 Å³ per cell. The value obtained for the formation energy from raw total energies is 2.15 eV/atom. The value obtained for the excess energy over the best structure of this formula in the dataset is 1238 meV/atom. The final energy is -18.6 eV for the cell shown.

---

Record 6
A plane-wave DFT calculation with PBE-GGA was carried out for a relaxed structure of RhSeN2F.

a b c (Å): 3.9485 3.9485 4.0200
angles (deg): 90.00 90.00 90.00
With the nearest neighbours (Å) after each atom.
Positions (direct):
Rh  0.0000  0.0000  0.0000  4 N 1.97, 2 F 2.01
Se  0.5000  0.5000  0.5000  4 F 2.79, 8 N 2.82
N  0.0000  0.5000  0.0000  2 Rh 1.97
N  0.5000  0.0000  0.0000  2 Rh 1.97
F  0.0000  0.0000  0.5000  2 Rh 2.01

Values from the calculation:
The calculated volume is 62.7 Å³ per cell. The value obtained for the formation energy from raw total energies is 0.92 eV/atom. The value obtained for the excess energy over the best structure of this formula in the dataset is 0 meV/atom. The final energy is -24.8 eV for the cell shown.

---

Record 7
A plane-wave DFT calculation with PBE-GGA was carried out for a relaxed structure of RhSeN2F.

a b c (Å): 3.9580 3.9580 3.8696
angles (deg): 90.00 90.00 90.00
With the nearest neighbours (Å) after each atom.
Positions (direct):
Rh  0.0000  0.0000  0.0000  8 N 2.77, 4 F 2.80
Se  0.5000  0.5000  0.5000  2 F 1.93, 4 N 1.98
N  0.0000  0.5000  0.5000  2 Se 1.98
N  0.5000  0.0000  0.5000  2 Se 1.98
F  0.5000  0.5000  0.0000  2 Se 1.93

Values from the calculation:
The calculated volume is 60.6 Å³ per cell. The value obtained for the formation energy from raw total energies is 1.41 eV/atom. The value obtained for the excess energy over the best structure of this formula in the dataset is 491 meV/atom. The final energy is -22.3 eV for the cell shown.

---

Record 8
A plane-wave DFT calculation with PBE-GGA was carried out for a relaxed structure of RhSeN2F.

a b c (Å): 3.7227 3.7227 5.4645
angles (deg): 90.00 90.00 90.00
With the nearest neighbours (Å) after each atom.
Positions (direct):
Rh  0.0000  0.0000  0.0000  4 N 1.86
Se  0.0000  0.0000  0.5000  4 F 2.63, 2 Rh 2.73
N  0.0000  0.5000  0.0000  2 Rh 1.86
N  0.5000  0.0000  0.0000  2 Rh 1.86
F  0.5000  0.5000  0.5000  4 Se 2.63

Values from the calculation:
The calculated volume is 75.7 Å³ per cell. The value obtained for the formation energy from raw total energies is 0.92 eV/atom. The value obtained for the excess energy over the best structure of this formula in the dataset is 9 meV/atom. The final energy is -24.7 eV for the cell shown.

---

Record 9
A plane-wave DFT calculation with PBE-GGA was carried out for a relaxed structure of RhSe2NF.

a b c (Å): 4.5586 4.5586 3.7420
angles (deg): 90.00 90.00 90.00
With the nearest neighbours (Å) after each atom.
Positions (direct):
Rh  0.0000  0.0000  0.0000  8 Se 2.95, 4 N 3.22
Se  0.0000  0.5000  0.5000  2 F 2.28
Se  0.5000  0.0000  0.5000  2 F 2.28
N  0.5000  0.5000  0.0000  2 F 1.87
F  0.5000  0.5000  0.5000  2 N 1.87

Values from the calculation:
The calculated volume is 77.8 Å³ per cell. The value obtained for the formation energy from raw total energies is 1.37 eV/atom. The value obtained for the excess energy over the best structure of this formula in the dataset is 869 meV/atom. The final energy is -17.6 eV for the cell shown.

---

Record 10
A plane-wave DFT calculation with PBE-GGA was carried out for a relaxed structure of SiRhNF2.

a b c (Å): 4.3914 4.3914 3.6826
angles (deg): 90.00 90.00 90.00
With the nearest neighbours (Å) after each atom.
Positions (direct):
Si  0.0000  0.0000  0.0000  8 F 2.87, 4 N 3.11
Rh  0.5000  0.5000  0.5000  2 N 1.84
N  0.5000  0.5000  0.0000  2 Rh 1.84
F  0.0000  0.5000  0.5000  2 Rh 2.20
F  0.5000  0.0000  0.5000  2 Rh 2.20

Values from the calculation:
The calculated volume is 71.0 Å³ per cell. The value obtained for the formation energy from raw total energies is -0.01 eV/atom. The value obtained for the excess energy over the best structure of this formula in the dataset is 460 meV/atom. The final energy is -24.9 eV for the cell shown.

---

Record 11
A plane-wave DFT calculation with PBE-GGA was carried out for a relaxed structure of SiRhNF2.

a b c (Å): 4.0788 4.0788 3.3253
angles (deg): 90.00 90.00 90.00
With the nearest neighbours (Å) after each atom.
Positions (direct):
Si  0.0000  0.0000  0.0000  2 N 1.66
Rh  0.5000  0.5000  0.5000  8 F 2.63, 4 N 2.88
N  0.0000  0.0000  0.5000  2 Si 1.66
F  0.0000  0.5000  0.0000  2 Si 2.04
F  0.5000  0.0000  0.0000  2 Si 2.04

Values from the calculation:
The calculated volume is 55.3 Å³ per cell. The value obtained for the formation energy from raw total energies is -0.47 eV/atom. The value obtained for the excess energy over the best structure of this formula in the dataset is 0 meV/atom. The final energy is -27.2 eV for the cell shown.

---

Record 12
A plane-wave DFT calculation with PBE-GGA was carried out for a relaxed structure of SnRhNF2.

a b c (Å): 4.5414 4.5414 3.6864
angles (deg): 90.00 90.00 90.00
With the nearest neighbours (Å) after each atom.
Positions (direct):
Sn  0.0000  0.0000  0.0000  8 F 2.92, 4 N 3.21
Rh  0.5000  0.5000  0.5000  2 N 1.84
N  0.5000  0.5000  0.0000  2 Rh 1.84
F  0.0000  0.5000  0.5000  2 Rh 2.27
F  0.5000  0.0000  0.5000  2 Rh 2.27

Values from the calculation:
The calculated volume is 76.0 Å³ per cell. The value obtained for the formation energy from raw total energies is -0.50 eV/atom. The value obtained for the excess energy over the best structure of this formula in the dataset is 0 meV/atom. The final energy is -25.9 eV for the cell shown.

---

Record 13
A plane-wave DFT calculation with PBE-GGA was carried out for a relaxed structure of SnRhN2F.

a b c (Å): 4.1436 4.1436 3.9882
angles (deg): 90.00 90.00 90.00
With the nearest neighbours (Å) after each atom.
Positions (direct):
Sn  0.0000  0.0000  0.0000  2 F 1.99, 4 N 2.07
Rh  0.5000  0.5000  0.5000  8 N 2.88, 4 F 2.93
N  0.0000  0.5000  0.0000  2 Sn 2.07
N  0.5000  0.0000  0.0000  2 Sn 2.07
F  0.0000  0.0000  0.5000  2 Sn 1.99

Values from the calculation:
The calculated volume is 68.5 Å³ per cell. The value obtained for the formation energy from raw total energies is 0.87 eV/atom. The value obtained for the excess energy over the best structure of this formula in the dataset is 485 meV/atom. The final energy is -25.5 eV for the cell shown.

---

Record 14
A plane-wave DFT calculation with PBE-GGA was carried out for a relaxed structure of SnRhN2F.

a b c (Å): 3.7982 3.7982 5.1752
angles (deg): 90.00 90.00 90.00
With the nearest neighbours (Å) after each atom.
Positions (direct):
Sn  0.0000  0.0000  0.0000  4 F 2.69
Rh  0.5000  0.5000  0.5000  4 N 1.90
N  0.0000  0.5000  0.5000  2 Rh 1.90
N  0.5000  0.0000  0.5000  2 Rh 1.90
F  0.5000  0.5000  0.0000  2 Rh 2.59, 4 Sn 2.69

Values from the calculation:
The calculated volume is 74.7 Å³ per cell. The value obtained for the formation energy from raw total energies is 0.39 eV/atom. The value obtained for the excess energy over the best structure of this formula in the dataset is 0 meV/atom. The final energy is -27.9 eV for the cell shown.

---

Record 15
A plane-wave DFT calculation with PBE-GGA was carried out for a relaxed structure of SnRhNF2.

a b c (Å): 4.2466 4.2466 4.0309
angles (deg): 90.00 90.00 90.00
With the nearest neighbours (Å) after each atom.
Positions (direct):
Sn  0.0000  0.0000  0.0000  2 N 2.02, 4 F 2.12
Rh  0.5000  0.5000  0.5000  8 F 2.93, 4 N 3.00
N  0.0000  0.0000  0.5000  2 Sn 2.02
F  0.0000  0.5000  0.0000  2 Sn 2.12
F  0.5000  0.0000  0.0000  2 Sn 2.12

Values from the calculation:
The calculated volume is 72.7 Å³ per cell. The value obtained for the formation energy from raw total energies is -0.13 eV/atom. The value obtained for the excess energy over the best structure of this formula in the dataset is 376 meV/atom. The final energy is -24.1 eV for the cell shown.

---

Record 16
A plane-wave DFT calculation with PBE-GGA was carried out for a relaxed structure of SrRhNF2.

a b c (Å): 4.5059 4.5059 5.3621
angles (deg): 90.00 90.00 90.00
With the nearest neighbours (Å) after each atom.
Positions (direct):
Sr  0.0000  0.0000  0.0000  4 F 2.25
Rh  0.5000  0.5000  0.5000  4 N 3.19, 8 F 3.50
N  0.0000  0.0000  0.5000  2 Sr 2.68
F  0.0000  0.5000  0.0000  2 Sr 2.25
F  0.5000  0.0000  0.0000  2 Sr 2.25

Values from the calculation:
The calculated volume is 108.9 Å³ per cell. The value obtained for the formation energy from raw total energies is -0.36 eV/atom. The value obtained for the excess energy over the best structure of this formula in the dataset is 1016 meV/atom. The final energy is -22.9 eV for the cell shown.

---

Record 17
A plane-wave DFT calculation with PBE-GGA was carried out for a relaxed structure of SrRhNF2.

a b c (Å): 4.5216 4.5216 3.7551
angles (deg): 90.00 90.00 90.00
With the nearest neighbours (Å) after each atom.
Positions (direct):
Sr  0.0000  0.0000  0.0000  8 F 2.94, 4 N 3.20
Rh  0.5000  0.5000  0.5000  2 N 1.88
N  0.5000  0.5000  0.0000  2 Rh 1.88
F  0.0000  0.5000  0.5000  2 Rh 2.26
F  0.5000  0.0000  0.5000  2 Rh 2.26

Values from the calculation:
The calculated volume is 76.8 Å³ per cell. The value obtained for the formation energy from raw total energies is -1.38 eV/atom. The value obtained for the excess energy over the best structure of this formula in the dataset is 0 meV/atom. The final energy is -28.0 eV for the cell shown.

---

Record 18
A plane-wave DFT calculation with PBE-GGA was carried out for a relaxed structure of TaRh2NF.

a b c (Å): 4.9223 4.9223 3.9187
angles (deg): 90.00 90.00 90.00
With the nearest neighbours (Å) after each atom.
Positions (direct):
Ta  0.0000  0.0000  0.0000  2 N 1.96
Rh  0.0000  0.5000  0.0000  2 Ta 2.46
Rh  0.5000  0.0000  0.0000  2 Ta 2.46
N  0.0000  0.0000  0.5000  2 Ta 1.96
F  0.5000  0.5000  0.5000  8 Rh 3.15, 4 N 3.48

Values from the calculation:
The calculated volume is 94.9 Å³ per cell. The value obtained for the formation energy from raw total energies is 0.85 eV/atom. The final energy is -32.5 eV for the cell shown.

---

Record 19
A plane-wave DFT calculation with PBE-GGA was carried out for a relaxed structure of TiRhNF2.

a b c (Å): 3.9189 3.9189 4.0354
angles (deg): 90.00 90.00 90.00
With the nearest neighbours (Å) after each atom.
Positions (direct):
Ti  0.0000  0.0000  0.0000  4 F 1.96, 2 N 2.02
Rh  0.5000  0.5000  0.5000  4 N 2.77, 8 F 2.81
N  0.0000  0.0000  0.5000  2 Ti 2.02
F  0.0000  0.5000  0.0000  2 Ti 1.96
F  0.5000  0.0000  0.0000  2 Ti 1.96

Values from the calculation:
The calculated volume is 62.0 Å³ per cell. The value obtained for the formation energy from raw total energies is -1.00 eV/atom. The value obtained for the excess energy over the best structure of this formula in the dataset is 0 meV/atom. The final energy is -32.3 eV for the cell shown.

---

Record 20
A plane-wave DFT calculation with PBE-GGA was carried out for a relaxed structure of TiRhNF2.

a b c (Å): 4.3480 4.3480 3.7170
angles (deg): 90.00 90.00 90.00
With the nearest neighbours (Å) after each atom.
Positions (direct):
Ti  0.0000  0.0000  0.0000  8 F 2.86, 4 N 3.07
Rh  0.5000  0.5000  0.5000  2 N 1.86
N  0.5000  0.5000  0.0000  2 Rh 1.86
F  0.0000  0.5000  0.5000  2 Rh 2.17
F  0.5000  0.0000  0.5000  2 Rh 2.17

Values from the calculation:
The calculated volume is 70.3 Å³ per cell. The value obtained for the formation energy from raw total energies is -0.32 eV/atom. The value obtained for the excess energy over the best structure of this formula in the dataset is 678 meV/atom. The final energy is -28.9 eV for the cell shown.